BeVPbO4 (PBE with a Hubbard U, relaxed); energy = -94.7 eV per cell
1.0
-2.1826 3.9763 -2.0523
-4.3511 -0.9355 2.8147
3.1859 2.0202 5.5964
Be V Pb O
2 2 2 8
Direct
0.2595 0.7500 0.3449
0.7405 0.2500 0.6551
0.8083 0.7500 0.4584
0.1917 0.2500 0.5416
0.7101 0.7500 0.9118
0.2899 0.2500 0.0882
0.9702 0.4847 0.6718
0.0298 0.9847 0.3282
0.0298 0.5153 0.3282
0.9702 0.0153 0.6718
0.4644 0.7500 0.1970
0.5356 0.2500 0.8030
0.4946 0.7500 0.5658
0.5054 0.2500 0.4342